VASP calculation (GGA-PBE) on Y6GaAu5 after structural relaxation. Values from VASP.

Results
As for the formation energy from the elements: -0.81 eV per atom.

Quantum ESPRESSO input file:
```
&SYSTEM
  ibrav = 0, nat = 12, ntyp = 3
/
ATOMIC_SPECIES
Y 88.91 Y.upf
Au 196.97 Au.upf
Ga 69.72 Ga.upf
ATOMIC_POSITIONS crystal
Y 0.833 0.582 0.666
Y 0.833 0.084 0.666
Y 0.500 0.747 0.000
Y 0.500 0.253 0.000
Y 0.167 0.916 0.334
Y 0.167 0.418 0.334
Au 0.661 0.161 0.322
Au 0.334 0.334 0.667
Au 0.000 0.500 0.000
Au 0.666 0.666 0.333
Au 0.339 0.839 0.678
Ga 0.000 0.000 0.000
CELL_PARAMETERS angstrom
4.885 0.021 -1.426
-0.996 6.378 -3.321
-0.078 0.451 8.823
```